Density functional theory data (GGA-PBE) for a relaxed structure of NdSnPPd2.

For the energy, the calculation gives -58.106 eV per cell.

The space group is P4/nmm (No. 129, origin choice 2) and the conventional cell measures 4.2318, 4.2318 and 11.0870 Å, with angles of 90.00, 90.00 and 90.00 degrees. The distinct sites, in fractional coordinates, are Nd at (0.2500, 0.2500, 0.2168), Sn at (0.2500, 0.7500, 0.5000), P at (0.2500, 0.2500, 0.8737), Pd at (0.2500, 0.2500, 0.6608) and Pd at (0.2500, 0.7500, 0.0000).



Density functional theory data (GGA-PBE) for a relaxed structure of PmNd3P4.

For the energy, the calculation gives -106.096 eV per cell.

The space group is Cmmm (No. 65) and the conventional cell measures 8.3124, 11.7558 and 4.1579 Å, with angles of 90.00, 90.00 and 90.00 degrees. The distinct sites, in fractional coordinates, are Pm at (0.0000, 0.0000, 0.0000), Nd at (0.0000, 0.5000, 0.0000), Nd at (0.2500, 0.2500, 0.5000), P at (0.0000, 0.2493, 0.0000) and P at (0.2487, 0.0000, 0.5000).



Density functional theory data (GGA-PBE) for a relaxed structure of PmNdP2.

For the energy, the calculation gives -26.538 eV per cell.

The space group is P4/mmm (No. 123) and the conventional cell measures 4.1480, 4.1480 and 5.8656 Å, with angles of 90.00, 90.00 and 90.00 degrees. The distinct sites, in fractional coordinates, are Pm at (0.0000, 0.0000, 0.0000), Nd at (0.5000, 0.5000, 0.5000), P at (0.0000, 0.0000, 0.5000) and P at (0.5000, 0.5000, 0.0000).



Density functional theory data (GGA-PBE) for a relaxed structure of PrNd2P3.

For the energy, the calculation gives -39.730 eV per cell.

The space group is P-3m1 (No. 164) and the conventional cell measures 4.1793, 4.1793 and 10.2301 Å, with angles of 90.00, 90.00 and 120.00 degrees. The distinct sites, in fractional coordinates, are Pr at (0.0000, 0.0000, 0.0000), Nd at (0.3333, 0.6667, 0.3340), P at (0.0000, 0.0000, 0.5000) and P at (0.3333, 0.6667, 0.8318).



Density functional theory data (GGA-PBE) for a relaxed structure of PrNd3P4.

For the energy, the calculation gives -105.967 eV per cell.

The space group is Cmmm (No. 65) and the conventional cell measures 8.3480, 11.8059 and 4.1756 Å, with angles of 90.00, 90.00 and 90.00 degrees. The distinct sites, in fractional coordinates, are Pr at (0.0000, 0.0000, 0.0000), Nd at (0.0000, 0.5000, 0.0000), Nd at (0.2500, 0.2500, 0.5000), P at (0.0000, 0.2507, 0.0000) and P at (0.2485, 0.5000, 0.5000).



Density functional theory data (GGA-PBE) for a relaxed structure of Pr3NdP4.

For the energy, the calculation gives -105.842 eV per cell.

The space group is Cmmm (No. 65) and the conventional cell measures 8.3847, 11.8575 and 4.1938 Å, with angles of 90.00, 90.00 and 90.00 degrees. The distinct sites, in fractional coordinates, are Pr at (0.0000, 0.0000, 0.0000), Pr at (0.2500, 0.2500, 0.5000), Nd at (0.0000, 0.5000, 0.0000), P at (0.0000, 0.2507, 0.0000) and P at (0.2486, 0.5000, 0.5000).



Density functional theory data (GGA-PBE) for a relaxed structure of Nd3P4Pt7.

For the energy, the calculation gives -184.124 eV per cell.

The space group is C2/m (No. 12) and the conventional cell measures 15.7275, 4.0712 and 9.4044 Å, with angles of 90.00, 119.88 and 90.00 degrees. The distinct sites, in fractional coordinates, are Nd at (0.0000, 0.0000, 0.0000), Nd at (0.1817, 0.5000, 0.6266), P at (0.1170, 0.0000, 0.7983), P at (0.1540, 0.5000, 0.2646), Pt at (0.0000, 0.0000, 0.5000), Pt at (0.0292, 0.5000, 0.7592), Pt at (0.1124, 0.0000, 0.3467) and Pt at (0.2128, 0.5000, 0.0735).



Density functional theory data (GGA-PBE) for a relaxed structure of NdSnPPt2.

For the energy, the calculation gives -61.858 eV per cell.

The space group is P4/nmm (No. 129, origin choice 2) and the conventional cell measures 4.2902, 4.2902 and 10.8284 Å, with angles of 90.00, 90.00 and 90.00 degrees. The distinct sites, in fractional coordinates, are Nd at (0.2500, 0.2500, 0.2209), Sn at (0.2500, 0.7500, 0.5000), P at (0.2500, 0.2500, 0.8769), Pt at (0.2500, 0.2500, 0.6619) and Pt at (0.2500, 0.7500, 0.0000).



Density functional theory data (GGA-PBE) for a relaxed structure of NdPu2P3.

For the energy, the calculation gives -57.289 eV per cell.

The space group is P-3m1 (No. 164) and the conventional cell measures 4.0560, 4.0560 and 9.8862 Å, with angles of 90.00, 90.00 and 120.00 degrees. The distinct sites, in fractional coordinates, are Nd at (0.0000, 0.0000, 0.0000), Pu at (0.3333, 0.6667, 0.3373), P at (0.0000, 0.0000, 0.5000) and P at (0.3333, 0.6667, 0.8208).



Density functional theory data (GGA-PBE) for a relaxed structure of RbNd3P.

For the energy, the calculation gives -21.447 eV per cell.

The space group is Pm-3m (No. 221) and the conventional cell measures 5.7446, 5.7446 and 5.7446 Å, with angles of 90.00, 90.00 and 90.00 degrees. The distinct sites, in fractional coordinates, are Rb at (0.0000, 0.0000, 0.0000), Nd at (0.0000, 0.5000, 0.5000) and P at (0.5000, 0.5000, 0.5000).



Density functional theory data (GGA-PBE) for a relaxed structure of NdPS.

For the energy, the calculation gives -151.860 eV per cell.

The space group is Pnma (No. 62) and the conventional cell measures 5.5701, 5.5049 and 17.1703 Å, with angles of 90.00, 90.00 and 90.00 degrees. The distinct sites, in fractional coordinates, are Nd at (0.0163, 0.2500, 0.1378), Nd at (0.0161, 0.7500, 0.3525), P at (0.1972, 0.0431, 0.5026), S at (0.0122, 0.7500, 0.1829) and S at (0.0149, 0.2500, 0.3109).



Density functional theory data (GGA-PBE) for a relaxed structure of Nd3PS2.

For the energy, the calculation gives -39.386 eV per cell.

The space group is P-3m1 (No. 164) and the conventional cell measures 4.1054, 4.1054 and 10.0345 Å, with angles of 90.00, 90.00 and 120.00 degrees. The distinct sites, in fractional coordinates, are Nd at (0.0000, 0.0000, 0.0000), Nd at (0.3333, 0.6667, 0.3369), P at (0.0000, 0.0000, 0.5000) and S at (0.3333, 0.6667, 0.8359).